Below is Pr3TlAu5 after structural relaxation, with properties calculated at the GGA-PBE level.

Cell: 8.9877 8.9877 6.3532 Å, 90.00 90.00 120.00°
Sites, in units of the cell vectors:
Pr 0.0000 0.3519 0.2500
Pr 0.0000 0.6481 0.7500
Pr 0.3519 0.0000 0.2500
Pr 0.3519 0.3519 0.7500
Pr 0.6481 0.0000 0.7500
Pr 0.6481 0.6481 0.2500
Tl 0.0000 0.0000 0.0000
Tl 0.0000 0.0000 0.5000
Au 0.0000 0.3175 0.7500
Au 0.0000 0.6825 0.2500
Au 0.3175 0.0000 0.7500
Au 0.3175 0.3175 0.2500
Au 0.3333 0.6667 0.0000
Au 0.3333 0.6667 0.5000
Au 0.6667 0.3333 0.0000
Au 0.6667 0.3333 0.5000
Au 0.6825 0.0000 0.2500
Au 0.6825 0.6825 0.7500

As for the density: 12.04 g cm⁻³. As for the formation enthalpy at 0 K: -6.1 eV per formula unit. The density of states at the Fermi level is 0.572 states/eV/atom.



Below is Pr4TlAu after structural relaxation, with properties calculated at the GGA-PBE level.

Cell: 5.6554 7.3020 9.1288 Å, 90.00 98.43 90.00°
Sites, in units of the cell vectors:
Pr 0.1677 0.2500 0.0530
Pr 0.2066 0.7500 0.3740
Pr 0.3186 0.5185 0.7304
Pr 0.3186 0.9815 0.7304
Pr 0.6814 0.0185 0.2696
Pr 0.6814 0.4815 0.2696
Pr 0.7934 0.2500 0.6260
Pr 0.8323 0.7500 0.9470
Tl 0.2310 0.2500 0.4171
Tl 0.7690 0.7500 0.5829
Au 0.3481 0.7500 0.0546
Au 0.6519 0.2500 0.9454

As for the density: 8.59 g cm⁻³. As for the formation enthalpy at 0 K: -2.2 eV per formula unit. For the distance to the lowest polymorph of the same formula, the calculation gives 0 kJ/mol of formula units. The density of states at the Fermi level is 1.142 states/eV/atom.



Below is PrTlAu2 after structural relaxation, with properties calculated at the GGA-PBE level.

Cell: 3.8324 3.8324 6.8357 Å, 90.00 90.00 90.00°
Sites, in units of the cell vectors:
Pr 0.0000 0.0000 0.0000
Tl 0.0000 0.0000 0.5000
Au 0.5000 0.5000 0.2368
Au 0.5000 0.5000 0.7632

As for the density: 12.23 g cm⁻³. As for the formation enthalpy at 0 K: -1.9 eV per formula unit. The density of states at the Fermi level is 0.513 states/eV/atom.



Below is Pr12Tl6Au after structural relaxation, with properties calculated at the GGA-PBE level.

Cell: 8.4912 8.4912 8.4912 Å, 92.35 92.35 92.35°
Sites, in units of the cell vectors:
Pr 0.0457 0.3554 0.1008
Pr 0.1008 0.0457 0.3554
Pr 0.1925 0.5668 0.4532
Pr 0.3554 0.1008 0.0457
Pr 0.4332 0.5468 0.8075
Pr 0.4532 0.1925 0.5668
Pr 0.5468 0.8075 0.4332
Pr 0.5668 0.4532 0.1925
Pr 0.6446 0.8992 0.9543
Pr 0.8075 0.4332 0.5468
Pr 0.8992 0.9543 0.6446
Pr 0.9543 0.6446 0.8992
Tl 0.1260 0.2916 0.7278
Tl 0.2722 0.8740 0.7084
Tl 0.2916 0.7278 0.1260
Tl 0.7084 0.2722 0.8740
Tl 0.7278 0.1260 0.2916
Tl 0.8740 0.7084 0.2722
Au 0.0000 0.0000 0.0000

As for the density: 8.47 g cm⁻³. As for the formation enthalpy at 0 K: -4.0 eV per formula unit. The density of states at the Fermi level is 0.988 states/eV/atom.